Density functional theory data (PBE) for a geometry-optimized Tm2LuSb structure.

## Properties
- density (g cm⁻³) = 9.98
- total DFT energy (no corrections) (eV per atom) = -4.545
- distance to the lowest polymorph of the same formula (meV per atom) = 314
- uncorrected formation energy (eV per formula unit) = -0.59

Cell and atoms, written as POSCAR:
```
Tm2LuSb
1.0
0.0000 3.7515 3.7515
3.7515 0.0000 3.7515
3.7515 3.7515 0.0000
Tm Lu Sb
2 1 1
Cartesian
1.8757 1.8757 1.8757
5.6272 5.6272 5.6272
0.0000 0.0000 0.0000
3.7515 3.7515 3.7515
```


Density functional theory data (PBE) for a geometry-optimized Tm2LuSb structure.

## Properties
- density (g cm⁻³) = 9.63
- total DFT energy (no corrections) (eV per atom) = -4.859
- distance to the lowest polymorph of the same formula (meV per atom) = 0
- uncorrected formation energy (eV per formula unit) = -1.85

Cell and atoms, written as POSCAR:
```
Tm2LuSb
1.0
4.0847 0.0000 0.0000
0.0000 4.0847 0.0000
0.0000 0.0000 6.5597
Tm Lu Sb
2 1 1
Cartesian
0.0000 0.0000 1.5691
0.0000 0.0000 4.9906
2.0424 2.0424 3.2799
2.0424 2.0424 0.0000
```